Record 1
DFT (PBE) results for a relaxed La2Ni2Bi crystal.

The structure in extended XYZ format:
```
10
Lattice="3.7150 0.0000 0.0000 0.0000 3.7150 0.0000 0.0000 0.0000 17.8757" Properties=species:S:1:pos:R:3 pbc="T T T"
La 0.0000 0.0000 2.3471
La 0.0000 0.0000 15.5286
La 1.8575 1.8575 6.5908
La 1.8575 1.8575 11.2850
Ni 0.0000 1.8575 4.4689
Ni 0.0000 1.8575 13.4068
Ni 1.8575 0.0000 4.4689
Ni 1.8575 0.0000 13.4068
Bi 0.0000 0.0000 8.9379
Bi 1.8575 1.8575 0.0000
```

Properties
Fermi-level density of states = 1.27 states/eV/atom
Mass density = 8.13 Mg/m³
Energy relative to the lowest polymorph listed for this composition = 0.89 eV/f.u.
E_form = -1.78 eV/f.u.
Total energy = -5.4161 eV/atom

Record 2
DFT (PBE) results for a relaxed La12Ni5Bi crystal.

The structure in extended XYZ format:
```
18
Lattice="-4.8730 5.0631 5.3496 4.8730 -5.0631 5.3496 4.8730 5.0631 -5.3496" Properties=species:S:1:pos:R:3 pbc="T T T"
La 4.8730 3.1792 -3.2487
La 2.9807 1.8167 0.0000
La 6.7653 1.8167 0.0000
La 1.8168 5.0631 -1.8852
La 3.0562 0.0000 3.4644
La 0.0000 1.8839 2.1009
La 4.8730 3.1792 3.2487
La 1.8168 5.0631 1.8852
La 3.0562 0.0000 7.2348
La -1.8923 3.2463 5.3496
La 1.8923 3.2463 5.3496
La 0.0000 1.8839 8.5983
Ni 0.0000 0.0000 0.0000
Ni 4.8730 0.0000 1.3239
Ni 0.0000 3.7187 0.0000
Ni 0.0000 6.4075 0.0000
Ni 0.0000 5.0631 4.0257
Bi 0.0000 0.0000 5.3496
```

Properties
Fermi-level density of states = 1.05 states/eV/atom
Mass density = 6.82 Mg/m³
E_form = -5.65 eV/f.u.
Total energy = -5.4206 eV/atom

Record 3
DFT (PBE) results for a relaxed La4Ni2Bi crystal.

The structure in extended XYZ format:
```
14
Lattice="4.4273 -6.8422 0.0000 4.4273 6.8422 0.0000 -4.4180 0.0000 6.8585" Properties=species:S:1:pos:R:3 pbc="T T T"
La 2.2182 6.7763 3.4292
La -1.5326 2.5352 6.0412
La 2.2228 3.4938 5.0625
La 2.8829 0.8891 2.4528
La 0.6764 -2.5352 2.6119
La 0.6739 -0.8891 5.8820
La 4.4318 -3.4938 1.6333
La 4.4273 -6.7763 0.0000
Ni 2.5557 4.0325 1.9176
Ni 0.3395 0.6182 3.1463
Ni -1.8695 -0.6182 6.5756
Ni 0.3467 -4.0325 5.3468
Bi 5.8697 1.7069 0.8152
Bi 3.6607 -1.7069 4.2445
```

Properties
Fermi-level density of states = 1.26 states/eV/atom
Mass density = 7.05 Mg/m³
E_form = -2.78 eV/f.u.
Total energy = -5.4188 eV/atom

Record 4
DFT (PBE) results for a relaxed La2Ni2Bi crystal.

The structure in extended XYZ format:
```
10
Lattice="7.6065 0.0000 0.0000 0.0000 7.6065 0.0000 0.0000 0.0000 4.0600" Properties=species:S:1:pos:R:3 pbc="T T T"
La 1.3681 2.4351 0.0000
La 2.4351 6.2384 0.0000
La 5.1714 1.3681 0.0000
La 6.2384 5.1714 0.0000
Ni 0.8630 4.6662 2.0300
Ni 2.9403 0.8630 2.0300
Ni 4.6662 6.7435 2.0300
Ni 6.7435 2.9403 2.0300
Bi 0.0000 0.0000 2.0300
Bi 3.8032 3.8032 2.0300
```

Properties
Fermi-level density of states = 0.89 states/eV/atom
Mass density = 8.54 Mg/m³
Energy relative to the lowest polymorph listed for this composition = 0.00 eV/f.u.
E_form = -2.67 eV/f.u.
Total energy = -5.5936 eV/atom